1.
# AcClF2

A geometry-optimized AcClF2 structure (PBE-GGA, Alexandria).

Relative energy among the computed polymorphs, eV/f.u.: 1.00
E_form (uncorrected), eV/atom: -3.3989
Magnetic moment, μB/f.u.: 0.0
ρ, g cm⁻³: 7.49

Unit cell a=4.551 b=4.551 c=4.551 alpha=60.00 beta=60.00 gamma=60.00
Fractional positions:
1 Ac 0.000 0.000 0.000
2 Cl 0.500 0.500 0.500
3 F 0.250 0.250 0.250
4 F 0.750 0.750 0.750


2.
# CeZrAgOs

A geometry-optimized CeZrAgOs structure (PBE-GGA, Alexandria).

Magnetic moment, μB/f.u.: 0.2
ρ, g cm⁻³: 10.60
Energy of formation from the pure elements, meV/atom: -60.0

Unit cell a=4.895 b=4.895 c=4.895 alpha=60.00 beta=60.00 gamma=60.00
Fractional positions:
1 Ce 0.000 0.000 0.000
2 Zr 0.500 0.500 0.500
3 Ag 0.250 0.250 0.250
4 Os 0.750 0.750 0.750


3.
# Ir2WBr

A geometry-optimized Ir2WBr structure (PBE-GGA, Alexandria).

Relative energy among the computed polymorphs, eV/f.u.: 0.34
E_form (uncorrected), eV/atom: 0.3364
Magnetic moment, μB/f.u.: 0.0
ρ, g cm⁻³: 15.73

Unit cell a=2.867 b=2.867 c=8.326 alpha=90.00 beta=90.00 gamma=90.00
Fractional positions:
1 Ir 0.000 0.000 0.215
2 Ir 0.000 0.000 0.785
3 W 0.500 0.500 0.000
4 Br 0.500 0.500 0.500


4.
# CaNd2Ni

A geometry-optimized CaNd2Ni structure (PBE-GGA, Alexandria).

Relative energy among the computed polymorphs, eV/f.u.: 0.20
Magnetic moment, μB/f.u.: 0.0
ρ, g cm⁻³: 5.33
Energy of formation from the pure elements, meV/atom: -77.2

Unit cell a=3.564 b=3.564 c=9.505 alpha=90.00 beta=90.00 gamma=90.00
Fractional positions:
1 Ca 0.000 0.000 0.000
2 Nd 0.500 0.500 0.328
3 Nd 0.500 0.500 0.672
4 Ni 0.000 0.000 0.500


5.
# Pm8Sn4Sb3

A geometry-optimized Pm8Sn4Sb3 structure (PBE-GGA, Alexandria).

E_form (uncorrected), eV/atom: -0.7463
Magnetic moment, μB/f.u.: 0.7
ρ, g cm⁻³: 6.52

Unit cell a=8.965 b=8.965 c=8.944 alpha=119.90 beta=119.90 gamma=90.04
Fractional positions:
1 Pm 0.243 0.243 0.000
2 Pm 0.244 0.244 0.490
3 Pm 0.244 0.756 0.000
4 Pm 0.249 0.751 0.500
5 Pm 0.751 0.249 0.500
6 Pm 0.756 0.244 0.000
7 Pm 0.756 0.756 0.510
8 Pm 0.757 0.757 0.000
9 Sn 0.000 0.000 0.000
10 Sn 0.000 0.500 0.500
11 Sn 0.500 0.000 0.500
12 Sn 0.500 0.500 0.500
13 Sb 0.000 0.000 0.500
14 Sb 0.000 0.500 0.000
15 Sb 0.500 0.000 0.000


6.
# Li2Y2Pd

A geometry-optimized Li2Y2Pd structure (PBE-GGA, Alexandria).

Relative energy among the computed polymorphs, eV/f.u.: 0.37
Magnetic moment, μB/f.u.: 0.0
ρ, g cm⁻³: 4.62
Energy of formation from the pure elements, meV/atom: -118.6

Unit cell a=6.719 b=6.719 c=4.746 alpha=90.00 beta=90.00 gamma=90.00
Fractional positions:
1 Li 0.133 0.367 0.000
2 Li 0.367 0.867 0.000
3 Li 0.633 0.133 0.000
4 Li 0.867 0.633 0.000
5 Y 0.185 0.685 0.500
6 Y 0.315 0.185 0.500
7 Y 0.685 0.815 0.500
8 Y 0.815 0.315 0.500
9 Pd 0.000 0.000 0.000
10 Pd 0.500 0.500 0.000


7.
# BaAl2ReO8

A geometry-optimized BaAl2ReO8 structure (PBE-GGA, Alexandria).

E_form (uncorrected), eV/atom: -2.1741
Magnetic moment, μB/f.u.: 1.0
ρ, g cm⁻³: 5.01

Unit cell a=5.075 b=5.075 c=7.277 alpha=104.83 beta=104.83 gamma=70.30
Fractional positions:
1 Ba 0.000 0.000 0.000
2 Al 0.442 0.442 0.766
3 Al 0.558 0.558 0.234
4 Re 0.000 0.000 0.500
5 O 0.226 0.764 0.311
6 O 0.233 0.233 0.582
7 O 0.236 0.774 0.689
8 O 0.369 0.369 0.979
9 O 0.631 0.631 0.021
10 O 0.764 0.226 0.311
11 O 0.767 0.767 0.418
12 O 0.774 0.236 0.689


8.
# PrPbAu

A geometry-optimized PrPbAu structure (PBE-GGA, Alexandria).

Magnetic moment, μB/f.u.: 0.0
ρ, g cm⁻³: 11.35
Energy of formation from the pure elements, meV/atom: -577.6

Unit cell a=4.941 b=4.941 c=3.774 alpha=90.00 beta=90.00 gamma=120.00
Fractional positions:
1 Pr 0.000 0.000 0.000
2 Pb 0.667 0.333 0.527
3 Au 0.333 0.667 0.465